Material: LuAgPbO3
Method: DFT, GGA-PBE
State: relaxed

Cell: 8.429 8.429 7.400 Å, 90.00 90.00 21.99°
Atoms (fractional coordinates):
Ag 0.598 0.598 0.250
Ag 0.402 0.402 0.750
Lu 0.000 0.000 0.000
Lu 0.000 0.000 0.500
O 0.877 0.877 0.068
O 0.730 0.730 0.250
O 0.877 0.877 0.432
O 0.123 0.123 0.568
O 0.270 0.270 0.750
O 0.123 0.123 0.932
Pb 0.318 0.318 0.250
Pb 0.682 0.682 0.750

The total magnetization comes out at 0.0 μB per cell. The calculation puts the density at 9.08 g/cm3. Its total DFT energy (no corrections) is -5.263 eV per atom.